(1)
8
Lattice="4.4744 0.0000 0.0000 0.0000 4.4744 0.0000 0.0000 0.0000 10.6054" Properties=species:S:1:pos:R:3 comment="NdAgBiSb, optimized geometry, DFT GGA-PBE" relative_energy_mev_per_atom=1 rho_g_cm3=9.1 energy_ev_per_atom=-4.56 magnetic_moment_mub_per_cell=0.000 pbc="T T T"
Nd 1.1186 1.1186 2.6330
Nd 3.3558 3.3558 7.9724
Ag 1.1186 3.3558 5.3027
Ag 3.3558 1.1186 5.3027
Bi 1.1186 3.3558 0.0000
Bi 3.3558 1.1186 0.0000
Sb 1.1186 1.1186 7.1691
Sb 3.3558 3.3558 3.4363

---

(2)
8
Lattice="4.4978 0.0000 0.0000 0.0000 4.4978 0.0000 0.0000 0.0000 10.6208" Properties=species:S:1:pos:R:3 comment="NdAgBiSb, optimized geometry, DFT GGA-PBE" relative_energy_mev_per_atom=0 rho_g_cm3=9.0 energy_ev_per_atom=-4.57 magnetic_moment_mub_per_cell=0.000 pbc="T T T"
Nd 0.0000 0.0000 0.0000
Nd 2.2489 2.2489 5.2787
Ag 0.0000 2.2489 7.9459
Ag 2.2489 0.0000 7.9459
Bi 0.0000 2.2489 2.6455
Bi 2.2489 0.0000 2.6455
Sb 0.0000 0.0000 6.0797
Sb 2.2489 2.2489 9.8083